1.
Here is a crystal of MnSnPPb2 relaxed with PBEsol from Alexandria. Energies are from meta-GGA SCAN.

Results
- formation energy from the elements (eV per atom) = 0.908
- calculated total energy (eV/f.u.) = -211.60
- theoretical density (kg/m3) = 6496
- N(E_F) (states/eV per cell) = 2.3

Geometry as POSCAR:
```
MnSnPPb2
1.0
5.654 0.000 0.000
0.000 5.654 0.000
0.000 0.000 4.950
Mn Sn P Pb
1 1 1 2
direct
0.000 0.000 0.000
0.000 0.000 0.500
0.500 0.500 0.000
0.000 0.500 0.500
0.500 0.000 0.500
```

---

2.
Here is a crystal of Mn3P6Pd20 relaxed with PBEsol from Alexandria. Energies are from meta-GGA SCAN.

Results
- formation energy from the elements (eV per atom) = -0.561
- calculated total energy (eV/f.u.) = -788.90
- theoretical density (kg/m3) = 9812
- N(E_F) (states/eV per cell) = 6.3

Geometry as POSCAR:
```
Mn3P6Pd20
1.0
0.000 5.942 5.942
5.942 0.000 5.942
5.942 5.942 0.000
Mn P Pd
3 6 20
direct
0.000 0.000 0.000
0.250 0.250 0.250
0.750 0.750 0.750
0.266 0.266 0.734
0.266 0.734 0.266
0.266 0.734 0.734
0.734 0.266 0.266
0.734 0.266 0.734
0.734 0.734 0.266
0.000 0.000 0.343
0.000 0.000 0.657
0.000 0.343 0.000
0.000 0.343 0.657
0.000 0.657 0.000
0.000 0.657 0.343
0.144 0.619 0.619
0.343 0.000 0.000
0.343 0.000 0.657
0.343 0.657 0.000
0.381 0.381 0.381
0.381 0.381 0.856
0.381 0.856 0.381
0.619 0.144 0.619
0.619 0.619 0.144
0.619 0.619 0.619
0.657 0.000 0.000
0.657 0.000 0.343
0.657 0.343 0.000
0.856 0.381 0.381
```

---

3.
Here is a crystal of MnPPt3 relaxed with PBEsol from Alexandria. Energies are from meta-GGA SCAN.

Results
- formation energy from the elements (eV per atom) = 1.351
- calculated total energy (eV/f.u.) = -232.48
- theoretical density (kg/m3) = 12459
- N(E_F) (states/eV per cell) = 4.5

Geometry as POSCAR:
```
MnPPt3
1.0
4.472 0.000 0.000
0.000 4.472 0.000
0.000 0.000 4.472
Mn P Pt
1 1 3
direct
0.000 0.000 0.000
0.500 0.500 0.500
0.000 0.000 0.500
0.000 0.500 0.000
0.500 0.000 0.000
```

---

4.
Here is a crystal of MnP2Pt relaxed with PBEsol from Alexandria. Energies are from meta-GGA SCAN.

Results
- formation energy from the elements (eV per atom) = -0.099
- calculated total energy (eV/f.u.) = -109.64
- excess energy over the best structure of this formula in the dataset (meV per atom) = 34
- theoretical density (kg/m3) = 10318
- N(E_F) (states/eV per cell) = 1.7

Geometry as POSCAR:
```
MnP2Pt
1.0
1.409 0.814 7.300
-1.409 0.814 7.300
0.000 -1.627 7.300
Mn P Pt
1 2 1
direct
0.000 0.000 0.000
0.260 0.260 0.260
0.740 0.740 0.740
0.500 0.500 0.500
```

---

5.
Here is a crystal of MnP2Pt relaxed with PBEsol from Alexandria. Energies are from meta-GGA SCAN.

Results
- formation energy from the elements (eV per atom) = -0.134
- calculated total energy (eV/f.u.) = -109.78
- excess energy over the best structure of this formula in the dataset (meV per atom) = 0
- theoretical density (kg/m3) = 9734
- N(E_F) (states/eV per cell) = 1.7

Geometry as POSCAR:
```
MnP2Pt
1.0
4.147 0.000 0.000
0.000 4.147 0.000
0.000 0.000 3.095
Mn P Pt
1 2 1
direct
0.000 0.000 0.000
0.000 0.500 0.500
0.500 0.000 0.500
0.500 0.500 0.000
```

---

6.
Here is a crystal of Mn2ReP relaxed with PBEsol from Alexandria. Energies are from meta-GGA SCAN.

Results
- formation energy from the elements (eV per atom) = -0.169
- calculated total energy (eV/f.u.) = -118.68
- theoretical density (kg/m3) = 11602
- N(E_F) (states/eV per cell) = 1.8

Geometry as POSCAR:
```
Mn2ReP
1.0
4.147 -1.380 0.000
4.147 1.380 0.000
-1.224 0.000 4.088
Mn Re P
2 1 1
direct
0.000 0.000 0.000
0.741 0.741 0.119
0.226 0.226 0.614
0.478 0.478 0.431
```

---

7.
Here is a crystal of MnReP relaxed with PBEsol from Alexandria. Energies are from meta-GGA SCAN.

Results
- formation energy from the elements (eV per atom) = -0.011
- calculated total energy (eV/f.u.) = -99.78
- excess energy over the best structure of this formula in the dataset (meV per atom) = 9
- theoretical density (kg/m3) = 10427
- N(E_F) (states/eV per cell) = 1.3

Geometry as POSCAR:
```
MnReP
1.0
0.000 2.788 2.788
2.788 0.000 2.788
2.788 2.788 0.000
Mn Re P
1 1 1
direct
0.000 0.000 0.000
0.250 0.250 0.250
0.500 0.500 0.500
```

---

8.
Here is a crystal of MnReP3 relaxed with PBEsol from Alexandria. Energies are from meta-GGA SCAN.

Results
- formation energy from the elements (eV per atom) = 0.727
- calculated total energy (eV/f.u.) = -116.91
- theoretical density (kg/m3) = 5692
- N(E_F) (states/eV per cell) = 3.6

Geometry as POSCAR:
```
MnReP3
1.0
4.602 0.000 0.000
0.000 4.602 0.000
0.000 0.000 4.602
Mn Re P
1 1 3
direct
0.000 0.000 0.000
0.500 0.500 0.500
0.000 0.500 0.500
0.500 0.000 0.500
0.500 0.500 0.000
```

---

9.
Here is a crystal of MnReP relaxed with PBEsol from Alexandria. Energies are from meta-GGA SCAN.

Results
- formation energy from the elements (eV per atom) = -0.020
- calculated total energy (eV/f.u.) = -99.81
- excess energy over the best structure of this formula in the dataset (meV per atom) = 0
- theoretical density (kg/m3) = 12665
- N(E_F) (states/eV per cell) = 2.7

Geometry as POSCAR:
```
MnReP
1.0
3.897 0.000 0.000
-1.949 3.375 0.000
0.000 0.000 2.713
Mn Re P
1 1 1
direct
0.000 0.000 0.000
0.667 0.333 0.500
0.333 0.667 0.000
```

---

10.
Here is a crystal of MnReP relaxed with PBEsol from Alexandria. Energies are from meta-GGA SCAN.

Results
- formation energy from the elements (eV per atom) = 0.037
- calculated total energy (eV/f.u.) = -99.64
- excess energy over the best structure of this formula in the dataset (meV per atom) = 57
- theoretical density (kg/m3) = 12264
- N(E_F) (states/eV per cell) = 1.4

Geometry as POSCAR:
```
MnReP
1.0
2.719 0.000 0.000
-1.360 2.355 0.000
0.000 0.000 5.754
Mn Re P
1 1 1
direct
0.000 0.000 0.000
0.667 0.333 0.355
0.333 0.667 0.707
```

---

11.
Here is a crystal of Mn2ReP relaxed with PBEsol from Alexandria. Energies are from meta-GGA SCAN.

Results
- formation energy from the elements (eV per atom) = -0.009
- calculated total energy (eV/f.u.) = -118.04
- theoretical density (kg/m3) = 11544
- N(E_F) (states/eV per cell) = 3.6

Geometry as POSCAR:
```
Mn2ReP
1.0
1.327 0.766 7.712
-1.327 0.766 7.712
0.000 -1.532 7.712
Mn Re P
2 1 1
direct
0.243 0.243 0.243
0.757 0.757 0.757
0.000 0.000 0.000
0.500 0.500 0.500
```

---

12.
Here is a crystal of Mn2ReP relaxed with PBEsol from Alexandria. Energies are from meta-GGA SCAN.

Results
- formation energy from the elements (eV per atom) = 0.106
- calculated total energy (eV/f.u.) = -117.58
- theoretical density (kg/m3) = 11435
- N(E_F) (states/eV per cell) = 2.5

Geometry as POSCAR:
```
Mn2ReP
1.0
1.333 0.770 7.710
-1.333 0.770 7.710
0.000 -1.540 7.710
Mn Re P
2 1 1
direct
0.000 0.000 0.000
0.252 0.252 0.252
0.496 0.496 0.496
0.740 0.740 0.740
```

---

13.
Here is a crystal of MnRePS2 relaxed with PBEsol from Alexandria. Energies are from meta-GGA SCAN.

Results
- uncorrected formation energy (eV/atom) = 0.475
- calculated total energy (eV/f.u.) = -116.63
- theoretical density (kg/m3) = 5697
- N(E_F) (states/eV per cell) = 3.3

Geometry as POSCAR:
```
MnRePS2
1.0
4.507 0.000 0.000
0.000 4.507 0.000
0.000 0.000 4.826
Mn Re P S
1 1 1 2
direct
0.000 0.000 0.000
0.500 0.500 0.500
0.500 0.500 0.000
0.000 0.500 0.500
0.500 0.000 0.500
```

---

14.
Here is a crystal of MnPRh relaxed with PBEsol from Alexandria. Energies are from meta-GGA SCAN.

Results
- formation energy from the elements (eV per atom) = -0.818
- calculated total energy (eV/f.u.) = -64.88
- theoretical density (kg/m3) = 8223
- N(E_F) (states/eV per cell) = 3.5

Geometry as POSCAR:
```
MnPRh
1.0
6.135 0.000 0.000
-3.068 5.313 0.000
0.000 0.000 3.509
Mn P Rh
3 3 3
direct
0.000 0.599 0.000
0.401 0.401 0.000
0.599 0.000 0.000
0.000 0.000 0.000
0.333 0.667 0.500
0.667 0.333 0.500
0.000 0.264 0.500
0.264 0.000 0.500
0.736 0.736 0.500
```

---

15.
Here is a crystal of MnP2Rh relaxed with PBEsol from Alexandria. Energies are from meta-GGA SCAN.

Results
- formation energy from the elements (eV per atom) = -0.190
- calculated total energy (eV/f.u.) = -73.59
- excess energy over the best structure of this formula in the dataset (meV per atom) = 307
- theoretical density (kg/m3) = 7688
- N(E_F) (states/eV per cell) = 2.2

Geometry as POSCAR:
```
MnP2Rh
1.0
0.000 2.874 2.874
2.874 0.000 2.874
2.874 2.874 0.000
Mn P Rh
1 2 1
direct
0.000 0.000 0.000
0.250 0.250 0.250
0.750 0.750 0.750
0.500 0.500 0.500
```

---

16.
Here is a crystal of MnP2Rh relaxed with PBEsol from Alexandria. Energies are from meta-GGA SCAN.

Results
- formation energy from the elements (eV per atom) = -0.286
- calculated total energy (eV/f.u.) = -73.97
- excess energy over the best structure of this formula in the dataset (meV per atom) = 212
- theoretical density (kg/m3) = 7002
- N(E_F) (states/eV per cell) = 1.7

Geometry as POSCAR:
```
MnP2Rh
1.0
2.859 0.000 0.000
0.000 3.537 0.000
0.000 0.000 5.155
Mn P Rh
1 2 1
direct
0.000 0.000 0.000
0.500 0.500 0.212
0.500 0.500 0.788
0.500 0.000 0.500
```

---

17.
Here is a crystal of MnP2Rh relaxed with PBEsol from Alexandria. Energies are from meta-GGA SCAN.

Results
- formation energy from the elements (eV per atom) = -0.498
- calculated total energy (eV/f.u.) = -74.82
- excess energy over the best structure of this formula in the dataset (meV per atom) = 0
- theoretical density (kg/m3) = 7322
- N(E_F) (states/eV per cell) = 1.4

Geometry as POSCAR:
```
MnP2Rh
1.0
3.212 0.000 0.000
0.000 3.212 0.000
0.000 0.000 4.831
Mn P Rh
1 2 1
direct
0.000 0.000 0.000
0.000 0.000 0.486
0.500 0.500 0.137
0.500 0.500 0.639
```

---

18.
Here is a crystal of MnP2Rh relaxed with PBEsol from Alexandria. Energies are from meta-GGA SCAN.

Results
- formation energy from the elements (eV per atom) = -0.155
- calculated total energy (eV/f.u.) = -73.44
- excess energy over the best structure of this formula in the dataset (meV per atom) = 343
- theoretical density (kg/m3) = 7111
- N(E_F) (states/eV per cell) = 1.8

Geometry as POSCAR:
```
MnP2Rh
1.0
1.449 0.837 7.052
-1.449 0.837 7.052
0.000 -1.674 7.052
Mn P Rh
1 2 1
direct
0.000 0.000 0.000
0.264 0.264 0.264
0.510 0.510 0.510
0.769 0.769 0.769
```

---

19.
Here is a crystal of MnPRh relaxed with PBEsol from Alexandria. Energies are from meta-GGA SCAN.

Results
- formation energy from the elements (eV per atom) = -0.131
- calculated total energy (eV/f.u.) = -62.82
- theoretical density (kg/m3) = 8810
- N(E_F) (states/eV per cell) = 2.5

Geometry as POSCAR:
```
MnPRh
1.0
2.704 0.000 0.000
-1.352 2.342 0.000
0.000 0.000 5.621
Mn P Rh
1 1 1
direct
0.000 0.000 0.000
0.333 0.667 0.713
0.667 0.333 0.379
```

---

20.
Here is a crystal of MnPRhS2 relaxed with PBEsol from Alexandria. Energies are from meta-GGA SCAN.

Results
- uncorrected formation energy (eV/atom) = 0.311
- calculated total energy (eV/f.u.) = -80.13
- theoretical density (kg/m3) = 4329
- N(E_F) (states/eV per cell) = 2.5

Geometry as POSCAR:
```
MnPRhS2
1.0
4.777 0.000 0.000
0.000 4.777 0.000
0.000 0.000 4.252
Mn P Rh S
1 1 1 2
direct
0.000 0.000 0.000
0.500 0.500 0.000
0.500 0.500 0.500
0.000 0.500 0.500
0.500 0.000 0.500
```

---

21.
Here is a crystal of Mn2PRu relaxed with PBEsol from Alexandria. Energies are from meta-GGA SCAN.

Results
- formation energy from the elements (eV per atom) = 0.134
- calculated total energy (eV/f.u.) = -81.20
- excess energy over the best structure of this formula in the dataset (meV per atom) = 446
- theoretical density (kg/m3) = 8950
- N(E_F) (states/eV per cell) = 2.4

Geometry as POSCAR:
```
Mn2PRu
1.0
0.000 2.821 2.821
2.821 0.000 2.821
2.821 2.821 0.000
Mn P Ru
2 1 1
direct
0.250 0.250 0.250
0.750 0.750 0.750
0.000 0.000 0.000
0.500 0.500 0.500
```

---

22.
Here is a crystal of Mn2PRu relaxed with PBEsol from Alexandria. Energies are from meta-GGA SCAN.

Results
- formation energy from the elements (eV per atom) = -0.312
- calculated total energy (eV/f.u.) = -82.98
- excess energy over the best structure of this formula in the dataset (meV per atom) = 0
- theoretical density (kg/m3) = 8537
- N(E_F) (states/eV per cell) = 2.1

Geometry as POSCAR:
```
Mn2PRu
1.0
3.537 0.000 0.000
0.000 3.537 0.000
0.000 0.000 3.762
Mn P Ru
2 1 1
direct
0.000 0.500 0.000
0.500 0.000 0.000
0.000 0.000 0.500
0.500 0.500 0.500
```

---

23.
Here is a crystal of MnPS3 relaxed with PBEsol from Alexandria. Energies are from meta-GGA SCAN.

Results
- uncorrected formation energy (eV/atom) = -0.668
- calculated total energy (eV/f.u.) = -60.88
- theoretical density (kg/m3) = 3078
- N(E_F) (states/eV per cell) = 0.0

Geometry as POSCAR:
```
MnPS3
1.0
2.964 -5.130 0.000
2.964 5.130 0.000
-1.961 0.000 6.462
Mn P S
2 2 6
direct
0.167 0.833 0.000
0.833 0.167 0.000
0.444 0.444 0.830
0.556 0.556 0.170
0.085 0.419 0.754
0.246 0.246 0.245
0.419 0.085 0.754
0.581 0.915 0.246
0.754 0.754 0.755
0.915 0.581 0.246
```

---

24.
Here is a crystal of MnSbPS2 relaxed with PBEsol from Alexandria. Energies are from meta-GGA SCAN.

Results
- uncorrected formation energy (eV/atom) = 0.668
- calculated total energy (eV/f.u.) = -81.83
- theoretical density (kg/m3) = 3760
- N(E_F) (states/eV per cell) = 3.7

Geometry as POSCAR:
```
MnSbPS2
1.0
4.916 0.000 0.000
0.000 4.916 0.000
0.000 0.000 4.967
Mn Sb P S
1 1 1 2
direct
0.000 0.000 0.000
0.500 0.500 0.500
0.500 0.500 0.000
0.000 0.500 0.500
0.500 0.000 0.500
```

---

25.
Here is a crystal of ScMnPS2 relaxed with PBEsol from Alexandria. Energies are from meta-GGA SCAN.

Results
- uncorrected formation energy (eV/atom) = -0.489
- calculated total energy (eV/f.u.) = -64.59
- theoretical density (kg/m3) = 3683
- N(E_F) (states/eV per cell) = 1.9

Geometry as POSCAR:
```
ScMnPS2
1.0
4.449 0.000 0.000
0.000 4.449 0.000
0.000 0.000 4.441
Sc Mn P S
1 1 1 2
direct
0.000 0.000 0.000
0.500 0.500 0.500
0.500 0.500 0.000
0.000 0.500 0.500
0.500 0.000 0.500
```

---

26.
Here is a crystal of MnTlPS2 relaxed with PBEsol from Alexandria. Energies are from meta-GGA SCAN.

Results
- uncorrected formation energy (eV/atom) = 0.947
- calculated total energy (eV/f.u.) = -115.54
- theoretical density (kg/m3) = 4697
- N(E_F) (states/eV per cell) = 3.0

Geometry as POSCAR:
```
MnTlPS2
1.0
5.015 0.000 0.000
0.000 5.015 0.000
0.000 0.000 4.982
Mn Tl P S
1 1 1 2
direct
0.000 0.000 0.000
0.500 0.500 0.500
0.500 0.500 0.000
0.000 0.500 0.500
0.500 0.000 0.500
```

---

27.
Here is a crystal of MnZnP2S relaxed with PBEsol from Alexandria. Energies are from meta-GGA SCAN.

Results
- uncorrected formation energy (eV/atom) = 0.456
- calculated total energy (eV/f.u.) = -59.92
- theoretical density (kg/m3) = 4097
- N(E_F) (states/eV per cell) = 2.4

Geometry as POSCAR:
```
MnZnP2S
1.0
4.126 0.000 0.000
0.000 4.126 0.000
0.000 0.000 5.103
Mn Zn P S
1 1 2 1
direct
0.000 0.000 0.000
0.500 0.500 0.500
0.000 0.500 0.000
0.500 0.000 0.000
0.000 0.000 0.500
```

---

28.
Here is a crystal of Mn2SbP relaxed with PBEsol from Alexandria. Energies are from meta-GGA SCAN.

Results
- uncorrected formation energy (eV/atom) = -0.162
- calculated total energy (eV/f.u.) = -84.82
- theoretical density (kg/m3) = 7542
- N(E_F) (states/eV per cell) = 2.4

Geometry as POSCAR:
```
Mn2SbP
1.0
3.208 0.000 0.000
0.000 3.208 0.000
0.000 0.000 5.616
Mn Sb P
2 1 1
direct
0.000 0.000 0.000
0.500 0.500 0.282
0.500 0.500 0.773
0.000 0.000 0.394
```